No. 1
A relaxed KBe4 crystal, computed with PBE.

```
KBe4
1.0
-2.905 2.905 2.162
2.905 -2.905 2.162
2.905 2.905 -2.162
K Be
1 4
Cartesian
0.000 0.000 0.000 K
0.000 1.843 2.162 Be
1.062 2.905 0.000 Be
1.843 0.000 2.162 Be
2.905 1.062 0.000 Be
```

Energy of formation from the pure elements: 4.95 eV per formula unit
Density of states at the Fermi level: 1.83 states/eV per cell
Magnetization: 0.00 μB/atom
Raw total energy: -11.1 eV/cell
Energy relative to the lowest polymorph listed for this composition: 186 kJ/mol of formula units
Mass density: 1.7 Mg/m³

No. 2
A relaxed KBe crystal, computed with PBE.

```
KBe
1.0
20.823 0.000 0.000
0.000 4.223 0.000
0.000 0.000 5.156
K Be
6 6
Cartesian
7.058 2.111 2.578 K
3.353 0.000 2.578 K
0.000 2.111 0.000 K
13.765 2.111 2.578 K
17.469 0.000 2.578 K
10.411 0.000 0.000 K
5.097 2.111 0.000 Be
0.000 0.000 2.578 Be
10.411 2.111 2.578 Be
5.315 0.000 0.000 Be
15.726 2.111 0.000 Be
15.508 0.000 0.000 Be
```

Energy of formation from the pure elements: 1.84 eV per formula unit
Density of states at the Fermi level: 10.11 states/eV per cell
Magnetization: 0.00 μB/atom
Raw total energy: -17.9 eV/cell
Energy relative to the lowest polymorph listed for this composition: 65 kJ/mol of formula units
Mass density: 1.1 Mg/m³

No. 3
A relaxed KBe crystal, computed with PBE.

```
KBe
1.0
5.819 0.000 0.000
-2.910 5.040 0.000
0.000 0.000 6.751
Be K
2 2
Cartesian
0.000 3.360 1.688 Be
2.910 1.680 5.063 Be
0.000 3.360 5.063 K
2.910 1.680 1.688 K
```

Energy of formation from the pure elements: 2.87 eV per formula unit
Density of states at the Fermi level: 4.39 states/eV per cell
Magnetization: 0.00 μB/atom
Raw total energy: -3.9 eV/cell
Energy relative to the lowest polymorph listed for this composition: 164 kJ/mol of formula units
Mass density: 0.8 Mg/m³

No. 4
A relaxed KBe crystal, computed with PBE.

```
KBe
1.0
-0.023 3.031 3.221
-4.145 1.109 -1.074
-1.064 -2.084 1.953
K Be
1 1
Cartesian
-2.084 2.070 1.074 K
-0.532 -1.042 0.977 Be
```

Energy of formation from the pure elements: 2.36 eV per formula unit
Density of states at the Fermi level: 1.17 states/eV per cell
Magnetization: 0.00 μB/atom
Raw total energy: -2.5 eV/cell
Energy relative to the lowest polymorph listed for this composition: 115 kJ/mol of formula units
Mass density: 1.3 Mg/m³